Material: SrMn2Os
Method: DFT, PBE
State: optimized geometry

a b c (Å): 7.2357 7.2357 7.2357
angles (deg): 155.41 145.71 42.65
Each line ends with the local moment (μB).
Fractional positions:
Mn (0.3454, 0.8454, 0.5000)  3.56
Mn (0.9747, 0.9747, 0.0000)  3.55
Sr (0.6906, 0.1906, 0.5000)  0.06
Os (0.4892, 0.4892, 0.0000)  0.13

Computed properties:
The energy of formation is 0.702 eV/atom. The magnetic moment comes out at 7.97 μB per formula unit.